Dy2ZnIn: relaxed, PBEsol.

Unit cell a=5.1068 b=5.1068 c=5.1068 alpha=60.00 beta=60.00 gamma=60.00
Last column: nearest neighbours and their distance in Å.
Fractional coordinates of all 4 atoms:
Zn1 0.5000 0.5000 0.5000  8 Dy 3.13
In1 0.0000 0.0000 0.0000  8 Dy 3.13
Dy1 0.2500 0.2500 0.2500  4 In 3.13, 4 Zn 3.13
Dy2 0.7500 0.7500 0.7500  4 In 3.13, 4 Zn 3.13

Raw total energy: -4.06 eV per atom
Density of states at the Fermi level: 3.44 states/eV per cell
ΔE_f: -41.0 kJ per mole of atoms
Crystal system: cubic

---

DyZnIn: relaxed, PBEsol.

Unit cell a=4.5908 b=4.5908 c=7.0942 alpha=90.00 beta=90.00 gamma=120.00
Last column: nearest neighbours and their distance in Å.
Fractional coordinates of all 6 atoms:
Zn1 0.3333 0.6667 0.7500  3 In 2.65
Zn2 0.6667 0.3333 0.2500  3 In 2.65
In1 0.3333 0.6667 0.2500  3 Zn 2.65
In2 0.6667 0.3333 0.7500  3 Zn 2.65
Dy1 0.0000 0.0000 0.0000  6 In 3.19, 6 Zn 3.19, 2 Dy 3.55
Dy2 0.0000 0.0000 0.5000  6 In 3.19, 6 Zn 3.19, 2 Dy 3.55

Raw total energy: -3.65 eV per atom
Density of states at the Fermi level: 4.89 states/eV per cell
ΔE_f: -45.2 kJ per mole of atoms
Crystal system: hexagonal

---

Which value of ΔE_f does entry 2 give?
-45.2 kJ per mole of atoms